Record 1
A geometry-optimized YBeOs structure, computed with PBE.

Energy above the most stable polymorph in this dataset in eV/f.u.: 1.268

Unit cell a=5.954 b=5.954 c=5.954 alpha=90.00 beta=90.00 gamma=90.00
Space group F-43m (No. 216)
One atom of each set of equivalent atoms:
Y 0.000 0.000 0.000 (multiplicity 4)
Be 0.250 0.250 0.750 (multiplicity 4)
Os 0.000 0.000 0.500 (multiplicity 4)

***

Record 2
A geometry-optimized YBe4Os structure, computed with PBE.

Unit cell a=6.619 b=6.619 c=6.619 alpha=90.00 beta=90.00 gamma=90.00
Space group F-43m (No. 216)
One atom of each set of equivalent atoms:
Y 0.000 0.000 0.000 (multiplicity 4)
Be 0.121 0.121 0.621 (multiplicity 16)
Os 0.250 0.250 0.250 (multiplicity 4)

***

Record 3
A geometry-optimized Y2BeOs structure, computed with PBE.

Unit cell a=6.693 b=6.693 c=6.693 alpha=90.00 beta=90.00 gamma=90.00
Space group F-43m (No. 216)
One atom of each set of equivalent atoms:
Y 0.000 0.000 0.000 (multiplicity 4)
Y 0.250 0.250 0.250 (multiplicity 4)
Be 0.000 0.000 0.500 (multiplicity 4)
Os 0.250 0.250 0.750 (multiplicity 4)

***

Record 4
A geometry-optimized YBeOs structure, computed with PBE.

Energy above the most stable polymorph in this dataset in eV/f.u.: 0.249

Unit cell a=4.0013 b=4.0013 c=3.7934 alpha=90.00 beta=90.00 gamma=120.00
Space group P-6m2 (No. 187)
One atom of each set of equivalent atoms:
Y 0.0000 0.0000 0.0000 (multiplicity 1)
Be 0.6667 0.3333 0.5000 (multiplicity 1)
Os 0.3333 0.6667 0.5000 (multiplicity 1)

***

Record 5
A geometry-optimized YBeOs structure, computed with PBE.

Energy above the most stable polymorph in this dataset in eV/f.u.: 0.363

Unit cell a=3.213 b=3.213 c=9.693 alpha=90.00 beta=90.00 gamma=90.00
Space group I4mm (No. 107)
One atom of each set of equivalent atoms:
Y 0.000 0.000 0.000 (multiplicity 2)
Be 0.000 0.000 0.721 (multiplicity 2)
Os 0.000 0.000 0.294 (multiplicity 2)

***

Record 6
A geometry-optimized Y2BeOs structure, computed with PBE.

Unit cell a=7.618 b=7.618 c=5.842 alpha=90.00 beta=90.00 gamma=90.00
Space group I-42d (No. 122)
One atom of each set of equivalent atoms:
Y 0.240 0.750 0.125 (multiplicity 8)
Be 0.000 0.000 0.500 (multiplicity 4)
Os 0.000 0.000 0.000 (multiplicity 4)

***

Record 7
A geometry-optimized YBeOs structure, computed with PBE.

Energy above the most stable polymorph in this dataset in eV/f.u.: 0.000

Unit cell a=5.201 b=5.268 c=7.211 alpha=90.00 beta=90.00 gamma=90.00
Space group Imma (No. 74)
One atom of each set of equivalent atoms:
Y 0.000 0.250 0.121 (multiplicity 4)
Be 0.000 0.000 0.500 (multiplicity 4)
Os 0.250 0.250 0.750 (multiplicity 4)

***

Record 8
A geometry-optimized YBeOs structure, computed with PBE.

Energy above the most stable polymorph in this dataset in eV/f.u.: 4.431

Unit cell a=6.344 b=6.344 c=6.344 alpha=90.00 beta=90.00 gamma=90.00
Space group F-43m (No. 216)
One atom of each set of equivalent atoms:
Y 0.000 0.000 0.000 (multiplicity 4)
Be 0.250 0.250 0.250 (multiplicity 4)
Os 0.250 0.250 0.750 (multiplicity 4)

***

Record 9
A geometry-optimized Y2BeOs2 structure, computed with PBE.

Unit cell a=6.506 b=6.506 c=4.536 alpha=90.00 beta=90.00 gamma=90.00
Space group P4/mbm (No. 127)
One atom of each set of equivalent atoms:
Y 0.177 0.323 0.000 (multiplicity 4)
Be 0.000 0.000 0.500 (multiplicity 2)
Os 0.134 0.634 0.500 (multiplicity 4)

***

Record 10
A geometry-optimized Y2BeOs structure, computed with PBE.

Unit cell a=3.973 b=4.080 c=10.556 alpha=90.00 beta=90.00 gamma=90.00
Space group Amm2 (No. 38)
One atom of each set of equivalent atoms:
Y 0.000 0.000 0.000 (multiplicity 2)
Y 0.500 0.000 0.280 (multiplicity 2)
Be 0.000 0.000 0.691 (multiplicity 2)
Os 0.500 0.000 0.582 (multiplicity 2)

***

Record 11
A geometry-optimized Y2BeOs structure, computed with PBE.

Unit cell a=3.248 b=3.248 c=7.825 alpha=90.00 beta=90.00 gamma=90.00
Space group P4mm (No. 99)
One atom of each set of equivalent atoms:
Y 0.000 0.000 0.000 (multiplicity 1)
Y 0.500 0.500 0.400 (multiplicity 1)
Be 0.000 0.000 0.646 (multiplicity 1)
Os 0.500 0.500 0.746 (multiplicity 1)

***

Record 12
A geometry-optimized YBe9Os2 structure, computed with PBE.

Unit cell a=4.4551 b=4.4551 c=14.3260 alpha=90.00 beta=90.00 gamma=120.00
Space group P6_3/mmc (No. 194)
One atom of each set of equivalent atoms:
Y 0.3333 0.6667 0.2500 (multiplicity 2)
Be 0.0000 0.0000 0.0000 (multiplicity 2)
Be 0.0000 0.0000 0.2500 (multiplicity 2)
Be 0.1696 0.3393 0.6170 (multiplicity 12)
Be 0.3333 0.6667 0.7500 (multiplicity 2)
Os 0.3333 0.6667 0.0340 (multiplicity 4)

***

Record 13
A geometry-optimized Y4BeOs structure, computed with PBE.

Unit cell a=8.381 b=8.381 c=8.381 alpha=90.00 beta=90.00 gamma=90.00
Space group F-43m (No. 216)
One atom of each set of equivalent atoms:
Y 0.124 0.124 0.376 (multiplicity 16)
Be 0.000 0.000 0.000 (multiplicity 4)
Os 0.250 0.250 0.750 (multiplicity 4)

***

Record 14
A geometry-optimized Y2BeOs structure, computed with PBE.

Unit cell a=4.263 b=4.263 c=8.546 alpha=90.00 beta=90.00 gamma=90.00
Space group I-4m2 (No. 119)
One atom of each set of equivalent atoms:
Y 0.000 0.000 0.000 (multiplicity 2)
Y 0.000 0.500 0.250 (multiplicity 2)
Be 0.000 0.500 0.750 (multiplicity 2)
Os 0.000 0.000 0.500 (multiplicity 2)

***

Record 15
A geometry-optimized YBeOs3 structure, computed with PBE.

Unit cell a=4.890 b=4.890 c=4.890 alpha=90.00 beta=90.00 gamma=90.00
Space group Pm-3m (No. 221)
One atom of each set of equivalent atoms:
Y 0.000 0.000 0.000 (multiplicity 1)
Be 0.500 0.500 0.500 (multiplicity 1)
Os 0.000 0.000 0.500 (multiplicity 3)

***

Record 16
A geometry-optimized BeZn2Os structure, computed with PBE.

Unit cell a=2.624 b=3.865 c=5.270 alpha=90.00 beta=104.40 gamma=90.00
Space group Pm (No. 6)
One atom of each set of equivalent atoms:
Be 0.000 0.000 0.000 (multiplicity 1)
Zn 0.233 0.000 0.458 (multiplicity 1)
Zn 0.855 0.500 0.702 (multiplicity 1)
Os 0.585 0.500 0.162 (multiplicity 1)

***

Record 17
A geometry-optimized Be2ZnOs2 structure, computed with PBE.

Energy above the most stable polymorph in this dataset in eV/f.u.: 1.608

Unit cell a=6.508 b=6.508 c=2.930 alpha=90.00 beta=90.00 gamma=90.00
Space group P4/mbm (No. 127)
One atom of each set of equivalent atoms:
Be 0.149 0.351 0.000 (multiplicity 4)
Zn 0.000 0.000 0.500 (multiplicity 2)
Os 0.142 0.642 0.500 (multiplicity 4)

***

Record 18
A geometry-optimized BeZn2Os structure, computed with PBE.

Unit cell a=2.7161 b=2.7161 c=24.7525 alpha=90.00 beta=90.00 gamma=120.00
Space group R-3m (No. 166, hexagonal axes)
One atom of each set of equivalent atoms:
Be 0.0000 0.0000 0.0000 (multiplicity 3)
Zn 0.0000 0.0000 0.2560 (multiplicity 6)
Os 0.0000 0.0000 0.5000 (multiplicity 3)

***

Record 19
A geometry-optimized Be3ZnOs structure, computed with PBE.

Energy above the most stable polymorph in this dataset in eV/f.u.: 0.000

Unit cell a=4.215 b=4.215 c=4.215 alpha=90.00 beta=90.00 gamma=90.00
Space group Pm-3m (No. 221)
One atom of each set of equivalent atoms:
Be 0.000 0.000 0.500 (multiplicity 3)
Zn 0.500 0.500 0.500 (multiplicity 1)
Os 0.000 0.000 0.000 (multiplicity 1)

***

Record 20
A geometry-optimized BeZnOs structure, computed with PBE.

Energy above the most stable polymorph in this dataset in eV/f.u.: 0.000

Unit cell a=4.0405 b=4.0405 c=2.5990 alpha=90.00 beta=90.00 gamma=120.00
Space group P-6m2 (No. 187)
One atom of each set of equivalent atoms:
Be 0.0000 0.0000 0.0000 (multiplicity 1)
Zn 0.3333 0.6667 0.0000 (multiplicity 1)
Os 0.6667 0.3333 0.5000 (multiplicity 1)

***

Record 21
A geometry-optimized BeZn2Os structure, computed with PBE.

Unit cell a=3.601 b=3.601 c=7.895 alpha=90.00 beta=90.00 gamma=90.00
Space group I-4m2 (No. 119)
One atom of each set of equivalent atoms:
Be 0.000 0.000 0.000 (multiplicity 2)
Zn 0.000 0.000 0.500 (multiplicity 2)
Zn 0.000 0.500 0.250 (multiplicity 2)
Os 0.000 0.500 0.750 (multiplicity 2)

***

Record 22
A geometry-optimized BeZn2Os structure, computed with PBE.

Unit cell a=3.227 b=3.816 c=4.082 alpha=90.00 beta=90.00 gamma=90.00
Space group Pmmm (No. 47)
One atom of each set of equivalent atoms:
Be 0.000 0.000 0.000 (multiplicity 1)
Zn 0.000 0.500 0.500 (multiplicity 1)
Zn 0.500 0.000 0.500 (multiplicity 1)
Os 0.500 0.500 0.000 (multiplicity 1)

***

Record 23
A geometry-optimized BeZn2Os structure, computed with PBE.

Unit cell a=5.880 b=5.880 c=5.880 alpha=90.00 beta=90.00 gamma=90.00
Space group F-43m (No. 216)
One atom of each set of equivalent atoms:
Be 0.000 0.000 0.000 (multiplicity 4)
Zn 0.000 0.000 0.500 (multiplicity 4)
Zn 0.250 0.250 0.250 (multiplicity 4)
Os 0.250 0.250 0.750 (multiplicity 4)

***

Record 24
A geometry-optimized BeZnOs structure, computed with PBE.

Energy above the most stable polymorph in this dataset in eV/f.u.: 0.307

Unit cell a=2.7105 b=2.7105 c=6.0686 alpha=90.00 beta=90.00 gamma=120.00
Space group P3m1 (No. 156)
One atom of each set of equivalent atoms:
Be 0.0000 0.0000 0.0000 (multiplicity 1)
Zn 0.3333 0.6667 0.6671 (multiplicity 1)
Os 0.6667 0.3333 0.2941 (multiplicity 1)

***

Record 25
A geometry-optimized BeZn3Os structure, computed with PBE.

Energy above the most stable polymorph in this dataset in eV/f.u.: 0.000

Unit cell a=4.124 b=4.124 c=4.124 alpha=90.00 beta=90.00 gamma=90.00
Space group Pm-3m (No. 221)
One atom of each set of equivalent atoms:
Be 0.000 0.000 0.000 (multiplicity 1)
Zn 0.000 0.000 0.500 (multiplicity 3)
Os 0.500 0.500 0.500 (multiplicity 1)

***

Record 26
A geometry-optimized BeZnOs structure, computed with PBE.

Energy above the most stable polymorph in this dataset in eV/f.u.: 0.438

Unit cell a=2.874 b=4.494 c=11.968 alpha=90.00 beta=90.00 gamma=90.00
Space group Fmm2 (No. 42)
One atom of each set of equivalent atoms:
Be 0.000 0.000 0.000 (multiplicity 4)
Zn 0.000 0.000 0.665 (multiplicity 4)
Os 0.000 0.000 0.352 (multiplicity 4)

***

Record 27
A geometry-optimized BeZn3Os structure, computed with PBE.

Energy above the most stable polymorph in this dataset in eV/f.u.: 1.347

Unit cell a=4.774 b=4.774 c=4.774 alpha=90.00 beta=90.00 gamma=90.00
Space group Pm-3m (No. 221)
One atom of each set of equivalent atoms:
Be 0.000 0.000 0.000 (multiplicity 1)
Zn 0.000 0.500 0.500 (multiplicity 3)
Os 0.500 0.500 0.500 (multiplicity 1)

***

Record 28
A geometry-optimized BeZnOs structure, computed with PBE.

Energy above the most stable polymorph in this dataset in eV/f.u.: 2.104

Unit cell a=5.658 b=5.658 c=5.658 alpha=90.00 beta=90.00 gamma=90.00
Space group F-43m (No. 216)
One atom of each set of equivalent atoms:
Be 0.000 0.000 0.000 (multiplicity 4)
Zn 0.000 0.000 0.500 (multiplicity 4)
Os 0.250 0.250 0.250 (multiplicity 4)

***

Q: Which DOS at the Fermi energy values were calculated for the entries above? A: 0.6395, 0.8167, 1.1229, 0.7157, 0.8485, 0.6530, 0.6153, 0.6349, 0.7900, 0.9526, 0.5781, 0.2799, 1.3857, 0.9691, 1.9437, 0.3183, 1.0853, 0.6274, 0.2896, 0.4085, 0.3856, 0.4087, 0.6622, 0.4458, 0.6814, 0.6946, 0.7227, 1.0366, in states/eV/atom.
Q: Which formation energy values were calculated for the entries above? A: 0.6, -0.7, 1.1, -0.4, -0.3, 2.1, -0.7, 3.8, 0.0, -0.8, -0.2, -3.1, 6.6, 0.9, 16.3, 0.3, 0.9, 1.1, 3.7, 0.2, 0.5, 0.3, 0.8, 0.6, 4.5, 0.7, 5.8, 2.3, in eV/f.u..
Q: Which final energy values were calculated for the entries above? A: -83.24, -133.37, -107.31, -21.83, -43.43, -103.15, -88.31, -70.59, -78.31, -57.31, -28.11, -131.03, -136.80, -54.01, -27.58, -17.18, -60.60, -49.22, -19.95, -15.99, -33.94, -17.21, -66.90, -15.68, -14.32, -62.20, -12.97, -55.53, in eV for the cell shown.